Run i
Computed, not measured: a relaxed AlIrSe crystal at the GGA-PBE level of DFT.

Values from the calculation:
The calculation puts the theoretical density at 9.25 g/cm3.

Lattice parameters (Å, degrees): 4.2305 4.2305 4.2305 60.00 60.00 60.00
Positions (direct):
Al (0.0000, 0.0000, 0.0000)
Ir (0.7500, 0.7500, 0.7500)
Se (0.2500, 0.2500, 0.2500)



Run ii
Computed, not measured: a relaxed AlIrSe crystal at the GGA-PBE level of DFT.

Values from the calculation:
The calculation puts the theoretical density at 10.30 g/cm3.

Lattice parameters (Å, degrees): 4.3621 4.3621 2.9181 90.00 90.00 120.00
Positions (direct):
Al (0.0000, 0.0000, 0.0000)
Ir (0.6667, 0.3333, 0.5000)
Se (0.3333, 0.6667, 0.5000)



Run iii
Computed, not measured: a relaxed AlIrSe crystal at the GGA-PBE level of DFT.

Values from the calculation:
The calculation puts the theoretical density at 9.18 g/cm3.

Lattice parameters (Å, degrees): 4.2414 4.2414 4.2414 60.00 60.00 60.00
Positions (direct):
Al (0.0000, 0.0000, 0.0000)
Ir (0.2500, 0.2500, 0.2500)
Se (0.5000, 0.5000, 0.5000)



Most stable = run iii



Run i
Computed, not measured: a relaxed AlIr2Se2 crystal at the GGA-PBE level of DFT.

Values from the calculation:
The calculation puts the theoretical density at 9.39 g/cm3.

Lattice parameters (Å, degrees): 6.9044 6.9044 6.9044 146.33 146.33 48.35
Positions (direct):
Al (0.0000, 0.0000, 0.0000)
Ir (0.2500, 0.7500, 0.5000)
Ir (0.7500, 0.2500, 0.5000)
Se (0.3696, 0.3696, 0.0000)
Se (0.6304, 0.6304, 0.0000)



Run ii
Computed, not measured: a relaxed AlIr2Se2 crystal at the GGA-PBE level of DFT.

Values from the calculation:
The calculation puts the theoretical density at 10.89 g/cm3.

Lattice parameters (Å, degrees): 7.6859 7.6859 2.9402 90.00 90.00 90.00
Positions (direct):
Al (0.0000, 0.0000, 0.0000)
Al (0.5000, 0.5000, 0.0000)
Ir (0.1828, 0.3172, 0.5000)
Ir (0.3172, 0.8172, 0.5000)
Ir (0.6828, 0.1828, 0.5000)
Ir (0.8172, 0.6828, 0.5000)
Se (0.1349, 0.6349, 0.0000)
Se (0.3651, 0.1349, 0.0000)
Se (0.6349, 0.8651, 0.0000)
Se (0.8651, 0.3651, 0.0000)



Most stable = run i



Run i
Computed, not measured: a relaxed Al2SiIr crystal at the GGA-PBE level of DFT.

Values from the calculation:
The calculation puts the theoretical density at 7.66 g/cm3.

Lattice parameters (Å, degrees): 2.8585 2.8585 7.2781 90.00 90.00 90.00
Positions (direct):
Al (0.0000, 0.0000, 0.2263)
Al (0.0000, 0.0000, 0.7737)
Si (0.5000, 0.5000, 0.5000)
Ir (0.5000, 0.5000, 0.0000)



Run ii
Computed, not measured: a relaxed Al2SiIr crystal at the GGA-PBE level of DFT.

Values from the calculation:
The calculation puts the theoretical density at 7.81 g/cm3.

Lattice parameters (Å, degrees): 4.3529 4.3529 4.3529 60.00 60.00 60.00
Positions (direct):
Al (0.2500, 0.2500, 0.2500)
Al (0.7500, 0.7500, 0.7500)
Si (0.0000, 0.0000, 0.0000)
Ir (0.5000, 0.5000, 0.5000)



Most stable = run i



Run i
Computed, not measured: a relaxed Al2SiIr2 crystal at the GGA-PBE level of DFT.

Values from the calculation:
The calculation puts the theoretical density at 10.10 g/cm3.

Lattice parameters (Å, degrees): 4.1072 4.1072 5.2508 90.00 90.00 120.00
Positions (direct):
Al (0.3333, 0.6667, 0.3654)
Al (0.6667, 0.3333, 0.6346)
Si (0.0000, 0.0000, 0.0000)
Ir (0.3333, 0.6667, 0.8468)
Ir (0.6667, 0.3333, 0.1532)



Run ii
Computed, not measured: a relaxed Al2SiIr2 crystal at the GGA-PBE level of DFT.

Values from the calculation:
The calculation puts the theoretical density at 10.40 g/cm3.

Lattice parameters (Å, degrees): 7.1461 7.1461 2.9170 90.00 90.00 90.00
Positions (direct):
Al (0.1398, 0.3602, 0.0000)
Al (0.3602, 0.8602, 0.0000)
Al (0.6398, 0.1398, 0.0000)
Al (0.8602, 0.6398, 0.0000)
Si (0.0000, 0.0000, 0.5000)
Si (0.5000, 0.5000, 0.5000)
Ir (0.1585, 0.6585, 0.5000)
Ir (0.3415, 0.1585, 0.5000)
Ir (0.6585, 0.8415, 0.5000)
Ir (0.8415, 0.3415, 0.5000)



Run iii
Computed, not measured: a relaxed Al2SiIr2 crystal at the GGA-PBE level of DFT.

Values from the calculation:
The calculation puts the theoretical density at 9.94 g/cm3.

Lattice parameters (Å, degrees): 6.6653 6.6653 6.6653 149.09 149.09 44.28
Positions (direct):
Al (0.2500, 0.7500, 0.5000)
Al (0.7500, 0.2500, 0.5000)
Si (0.0000, 0.0000, 0.0000)
Ir (0.3936, 0.3936, 0.0000)
Ir (0.6064, 0.6064, 0.0000)



Most stable = run i



Run i
Computed, not measured: a relaxed AlSn2Ir2 crystal at the GGA-PBE level of DFT.

Values from the calculation:
The calculation puts the theoretical density at 11.37 g/cm3.

Lattice parameters (Å, degrees): 8.0235 8.0235 2.9431 90.00 90.00 90.00
Positions (direct):
Al (0.0000, 0.0000, 0.0000)
Al (0.5000, 0.5000, 0.0000)
Sn (0.1512, 0.3488, 0.0000)
Sn (0.3488, 0.8488, 0.0000)
Sn (0.6512, 0.1512, 0.0000)
Sn (0.8488, 0.6512, 0.0000)
Ir (0.1438, 0.6438, 0.5000)
Ir (0.3562, 0.1438, 0.5000)
Ir (0.6438, 0.8562, 0.5000)
Ir (0.8562, 0.3562, 0.5000)



Run ii
Computed, not measured: a relaxed AlSn2Ir2 crystal at the GGA-PBE level of DFT.

Values from the calculation:
The calculation puts the theoretical density at 10.06 g/cm3.

Lattice parameters (Å, degrees): 6.7367 6.7367 6.7367 143.59 143.59 52.45
Positions (direct):
Al (0.0000, 0.0000, 0.0000)
Sn (0.3807, 0.3807, 0.0000)
Sn (0.6193, 0.6193, 0.0000)
Ir (0.2500, 0.7500, 0.5000)
Ir (0.7500, 0.2500, 0.5000)



Most stable = run i



Run i
Computed, not measured: a relaxed AlSn3Ir crystal at the GGA-PBE level of DFT.

Values from the calculation:
The calculation puts the theoretical density at 7.24 g/cm3.

Lattice parameters (Å, degrees): 5.0910 5.0910 5.0910 90.00 90.00 90.00
Positions (direct):
Al (0.0000, 0.0000, 0.0000)
Sn (0.0000, 0.0000, 0.5000)
Sn (0.0000, 0.5000, 0.0000)
Sn (0.5000, 0.0000, 0.0000)
Ir (0.5000, 0.5000, 0.5000)



Run ii
Computed, not measured: a relaxed AlSn3Ir crystal at the GGA-PBE level of DFT.

Values from the calculation:
The calculation puts the theoretical density at 6.91 g/cm3.

Lattice parameters (Å, degrees): 5.1720 5.1720 5.1720 90.00 90.00 90.00
Positions (direct):
Al (0.0000, 0.0000, 0.0000)
Sn (0.0000, 0.5000, 0.5000)
Sn (0.5000, 0.0000, 0.5000)
Sn (0.5000, 0.5000, 0.0000)
Ir (0.5000, 0.5000, 0.5000)



Most stable = run ii



Run i
Computed, not measured: a relaxed SrAl6Ir crystal at the GGA-PBE level of DFT.

Values from the calculation:
The calculation puts the theoretical density at 4.65 g/cm3.

Lattice parameters (Å, degrees): 4.6572 4.6572 10.0507 108.84 108.84 50.76
Positions (direct):
Sr (0.0000, 0.0000, 0.0000)
Al (0.2241, 0.2241, 0.7736)
Al (0.2584, 0.2584, 0.4111)
Al (0.4973, 0.4973, 0.6956)
Al (0.5027, 0.5027, 0.3044)
Al (0.7416, 0.7416, 0.5889)
Al (0.7759, 0.7759, 0.2264)
Ir (0.0000, 0.0000, 0.5000)



Run ii
Computed, not measured: a relaxed SrAl6Ir crystal at the GGA-PBE level of DFT.

Values from the calculation:
The calculation puts the theoretical density at 4.57 g/cm3.

Lattice parameters (Å, degrees): 4.3128 4.3128 8.6219 90.00 90.00 90.00
Positions (direct):
Sr (0.0000, 0.0000, 0.0000)
Al (0.0000, 0.5000, 0.3401)
Al (0.0000, 0.5000, 0.6599)
Al (0.5000, 0.0000, 0.3401)
Al (0.5000, 0.0000, 0.6599)
Al (0.5000, 0.5000, 0.1491)
Al (0.5000, 0.5000, 0.8509)
Ir (0.0000, 0.0000, 0.5000)



Most stable = run ii



Run i
Computed, not measured: a relaxed SrAl3Ir crystal at the GGA-PBE level of DFT.

Values from the calculation:
The calculation puts the theoretical density at 5.59 g/cm3.

Lattice parameters (Å, degrees): 6.6372 6.6372 11.2294 90.00 90.00 120.00
Positions (direct):
Sr (0.0000, 0.0000, 0.0000)
Sr (0.0000, 0.0000, 0.5000)
Sr (0.3333, 0.6667, 0.2500)
Sr (0.6667, 0.3333, 0.7500)
Al (0.0000, 0.5000, 0.0000)
Al (0.0000, 0.5000, 0.5000)
Al (0.1446, 0.2893, 0.7500)
Al (0.1446, 0.8554, 0.7500)
Al (0.2893, 0.1446, 0.2500)
Al (0.5000, 0.0000, 0.0000)
Al (0.5000, 0.0000, 0.5000)
Al (0.5000, 0.5000, 0.0000)
Al (0.5000, 0.5000, 0.5000)
Al (0.7107, 0.8554, 0.7500)
Al (0.8554, 0.1446, 0.2500)
Al (0.8554, 0.7107, 0.2500)
Ir (0.3333, 0.6667, 0.6224)
Ir (0.3333, 0.6667, 0.8776)
Ir (0.6667, 0.3333, 0.1224)
Ir (0.6667, 0.3333, 0.3776)



Run ii
Computed, not measured: a relaxed SrAl3Ir crystal at the GGA-PBE level of DFT.

Values from the calculation:
The calculation puts the theoretical density at 3.77 g/cm3.

Lattice parameters (Å, degrees): 5.4166 5.4166 5.4166 90.00 90.00 90.00
Positions (direct):
Sr (0.0000, 0.0000, 0.0000)
Al (0.0000, 0.0000, 0.5000)
Al (0.0000, 0.5000, 0.0000)
Al (0.5000, 0.0000, 0.0000)
Ir (0.5000, 0.5000, 0.5000)



Run iii
Computed, not measured: a relaxed SrAl3Ir crystal at the GGA-PBE level of DFT.

Values from the calculation:
The calculation puts the theoretical density at 5.37 g/cm3.

Lattice parameters (Å, degrees): 4.8132 4.8132 4.8132 90.00 90.00 90.00
Positions (direct):
Sr (0.0000, 0.0000, 0.0000)
Al (0.0000, 0.5000, 0.5000)
Al (0.5000, 0.0000, 0.5000)
Al (0.5000, 0.5000, 0.0000)
Ir (0.5000, 0.5000, 0.5000)



Run iv
Computed, not measured: a relaxed SrAl3Ir crystal at the GGA-PBE level of DFT.

Values from the calculation:
The calculation puts the theoretical density at 5.57 g/cm3.

Lattice parameters (Å, degrees): 6.4859 6.4859 6.9929 117.64 117.64 60.02
Positions (direct):
Sr (0.0000, 0.0000, 0.0000)
Sr (0.2083, 0.2083, 0.6266)
Al (0.1305, 0.6987, 0.5295)
Al (0.5403, 0.5403, 0.0689)
Al (0.5410, 0.9865, 0.0687)
Al (0.6987, 0.1305, 0.5295)
Al (0.6989, 0.6989, 0.5298)
Al (0.9865, 0.5410, 0.0687)
Ir (0.4230, 0.4230, 0.2707)
Ir (0.5899, 0.5899, 0.7715)



Most stable = run i